## Ac3PrIn4 (PBE)

Data for a relaxed structure of Ac3PrIn4.

Summary:
Energy of formation: -0.44 eV per atom

Cell: 4.0503 4.0503 16.2663 Å, 90.00 90.00 90.00°
Space group P4/mmm (No. 123)
Inequivalent atoms, fractional coordinates:
Ac (0.0000, 0.0000, 0.0000) [1 per cell]
Ac (0.0000, 0.0000, 0.2571) [2 per cell]
Pr (0.0000, 0.0000, 0.5000) [1 per cell]
In (0.5000, 0.5000, 0.1290) [2 per cell]
In (0.5000, 0.5000, 0.3881) [2 per cell]


## Cd3SbPt (PBE)

Data for a relaxed structure of Cd3SbPt.

Summary:
E_form (uncorrected): 156 meV/atom

Cell: 5.1814 5.1814 5.1814 Å, 90.00 90.00 90.00°
Space group Pm-3m (No. 221)
Inequivalent atoms, fractional coordinates:
Cd (0.0000, 0.0000, 0.5000) [3 per cell]
Sb (0.5000, 0.5000, 0.5000) [1 per cell]
Pt (0.0000, 0.0000, 0.0000) [1 per cell]


Computed theoretical density (g/cm3) in order:
7.97; 7.81